# 1
VASP calculation (PBE) on Na3Ag4Ge2 after structural relaxation. Values from VASP.

Values from the calculation:
Energy relative to the elements = -0.001 eV/atom
Symmetry = C2/m, No. 12
DOS(E_F) = 4.2 states/eV/f.u.
Raw total energy = -24.6 eV/cell

Geometry as Quantum ESPRESSO input:
```
&SYSTEM
  ibrav = 0, nat = 9, ntyp = 3
/
ATOMIC_SPECIES
Na 22.99 Na.upf
Ag 107.87 Ag.upf
Ge 72.64 Ge.upf
CELL_PARAMETERS angstrom
4.611 0.000 0.000
-2.305 5.257 0.194
0.000 -1.976 8.475
ATOMIC_POSITIONS crystal
Na 0.383 0.766 0.615
Na 0.000 0.000 0.000
Na 0.617 0.234 0.385
Ag 0.725 0.450 0.081
Ag 0.091 0.183 0.637
Ag 0.909 0.817 0.363
Ag 0.275 0.550 0.919
Ge 0.309 0.618 0.232
Ge 0.691 0.382 0.768
```

---

# 2
VASP calculation (PBE) on Na2Ag2Ge after structural relaxation. Values from VASP.

Values from the calculation:
Energy relative to the lowest polymorph listed for this composition = 28.8 meV/atom
Energy relative to the elements = -0.005 eV/atom
Symmetry = C2/m, No. 12
DOS(E_F) = 1.4 states/eV/f.u.
Raw total energy = -26.0 eV/cell

Geometry as Quantum ESPRESSO input:
```
&SYSTEM
  ibrav = 0, nat = 10, ntyp = 3
/
ATOMIC_SPECIES
Na 22.99 Na.upf
Ag 107.87 Ag.upf
Ge 72.64 Ge.upf
CELL_PARAMETERS angstrom
-1.721 -3.609 2.118
3.855 -4.169 0.863
1.479 2.266 9.893
ATOMIC_POSITIONS crystal
Na 0.306 0.269 0.118
Na 0.493 0.346 0.669
Na 0.694 0.731 0.882
Na 0.507 0.654 0.331
Ag 0.987 0.141 0.886
Ag 0.157 0.243 0.443
Ag 0.013 0.859 0.114
Ag 0.843 0.757 0.557
Ge 0.793 0.066 0.347
Ge 0.207 0.934 0.653
```

---

# 3
VASP calculation (PBE) on NaAg2Ge2 after structural relaxation. Values from VASP.

Values from the calculation:
Energy relative to the lowest polymorph listed for this composition = 0.0 meV/atom
Energy relative to the elements = 0.002 eV/atom
Symmetry = C2/m, No. 12
DOS(E_F) = 1.4 states/eV/f.u.
Raw total energy = -16.2 eV/cell

Geometry as Quantum ESPRESSO input:
```
&SYSTEM
  ibrav = 0, nat = 5, ntyp = 3
/
ATOMIC_SPECIES
Na 22.99 Na.upf
Ag 107.87 Ag.upf
Ge 72.64 Ge.upf
CELL_PARAMETERS angstrom
-3.236 -2.565 2.131
0.876 -2.805 -3.600
4.610 0.085 3.305
ATOMIC_POSITIONS crystal
Na 0.000 0.000 0.500
Ag 0.785 0.215 0.000
Ag 0.215 0.785 0.000
Ge 0.594 0.594 0.746
Ge 0.406 0.406 0.254
```

---

# 4
VASP calculation (PBE) on Na2Ag2Ge after structural relaxation. Values from VASP.

Values from the calculation:
Energy relative to the lowest polymorph listed for this composition = 0.0 meV/atom
Energy relative to the elements = -0.033 eV/atom
Symmetry = Immm, No. 71
DOS(E_F) = 1.3 states/eV/f.u.
Raw total energy = -13.1 eV/cell

Geometry as Quantum ESPRESSO input:
```
&SYSTEM
  ibrav = 0, nat = 5, ntyp = 3
/
ATOMIC_SPECIES
Na 22.99 Na.upf
Ag 107.87 Ag.upf
Ge 72.64 Ge.upf
CELL_PARAMETERS angstrom
-5.096 0.094 2.580
-0.801 -4.091 -1.433
-1.038 -3.717 4.410
ATOMIC_POSITIONS crystal
Na 0.696 0.196 0.608
Na 0.304 0.804 0.392
Ag 0.254 0.500 0.000
Ag 0.746 0.500 0.000
Ge 0.000 0.000 0.000
```

---

# 5
VASP calculation (PBE) on Na2Ag2Ge after structural relaxation. Values from VASP.

Values from the calculation:
Energy relative to the lowest polymorph listed for this composition = 52.1 meV/atom
Energy relative to the elements = 0.019 eV/atom
Symmetry = P4/mbm, No. 127
DOS(E_F) = 1.5 states/eV/f.u.
Raw total energy = -25.7 eV/cell

Geometry as Quantum ESPRESSO input:
```
&SYSTEM
  ibrav = 0, nat = 10, ntyp = 3
/
ATOMIC_SPECIES
Na 22.99 Na.upf
Ge 72.64 Ge.upf
Ag 107.87 Ag.upf
CELL_PARAMETERS angstrom
6.881 0.000 0.000
0.000 6.881 0.000
0.000 0.000 4.821
ATOMIC_POSITIONS crystal
Na 0.172 0.672 0.500
Na 0.672 0.828 0.500
Na 0.828 0.328 0.500
Na 0.328 0.172 0.500
Ge 0.000 0.000 0.000
Ge 0.500 0.500 0.000
Ag 0.355 0.855 0.000
Ag 0.855 0.645 0.000
Ag 0.645 0.145 0.000
Ag 0.145 0.355 0.000
```

---

# 6
VASP calculation (PBE) on NaAgGe3 after structural relaxation. Values from VASP.

Values from the calculation:
Energy relative to the lowest polymorph listed for this composition = 528.8 meV/atom
Energy relative to the elements = 1.050 eV/atom
Symmetry = Pm-3m, No. 221
DOS(E_F) = 3.4 states/eV/f.u.
Raw total energy = -12.8 eV/cell

Geometry as Quantum ESPRESSO input:
```
&SYSTEM
  ibrav = 0, nat = 5, ntyp = 3
/
ATOMIC_SPECIES
Na 22.99 Na.upf
Ge 72.64 Ge.upf
Ag 107.87 Ag.upf
CELL_PARAMETERS angstrom
5.022 0.000 0.000
0.000 5.022 0.000
0.000 0.000 5.022
ATOMIC_POSITIONS crystal
Na 0.000 0.000 0.000
Ge 0.000 0.500 0.000
Ge 0.000 0.000 0.500
Ge 0.500 0.000 0.000
Ag 0.500 0.500 0.500
```

---

# 7
VASP calculation (PBE) on NaAg2Ge after structural relaxation. Values from VASP.

Values from the calculation:
Energy relative to the elements = 0.098 eV/atom
Symmetry = P4/mmm, No. 123
DOS(E_F) = 1.1 states/eV/f.u.
Raw total energy = -11.2 eV/cell

Geometry as Quantum ESPRESSO input:
```
&SYSTEM
  ibrav = 0, nat = 4, ntyp = 3
/
ATOMIC_SPECIES
Na 22.99 Na.upf
Ge 72.64 Ge.upf
Ag 107.87 Ag.upf
CELL_PARAMETERS angstrom
3.348 0.000 0.000
0.000 3.348 0.000
0.000 0.000 7.261
ATOMIC_POSITIONS crystal
Na 0.500 0.500 0.000
Ge 0.500 0.500 0.500
Ag 0.000 0.000 0.717
Ag 0.000 0.000 0.283
```

---

# 8
VASP calculation (PBE) on NaAg3Ge3 after structural relaxation. Values from VASP.

Values from the calculation:
Energy relative to the elements = 0.382 eV/atom
Symmetry = Pm-3n, No. 223
DOS(E_F) = 5.9 states/eV/f.u.
Raw total energy = -42.1 eV/cell

Geometry as Quantum ESPRESSO input:
```
&SYSTEM
  ibrav = 0, nat = 14, ntyp = 3
/
ATOMIC_SPECIES
Na 22.99 Na.upf
Ge 72.64 Ge.upf
Ag 107.87 Ag.upf
CELL_PARAMETERS angstrom
-6.935 1.043 -1.817
-2.091 -3.098 6.205
0.116 6.465 3.267
ATOMIC_POSITIONS crystal
Na 0.500 0.500 0.500
Na 0.000 0.000 0.000
Ge 0.250 0.000 0.500
Ge 0.000 0.500 0.250
Ge 0.500 0.750 0.000
Ge 0.750 0.000 0.500
Ge 0.000 0.500 0.750
Ge 0.500 0.250 0.000
Ag 0.000 0.250 0.500
Ag 0.000 0.750 0.500
Ag 0.500 0.000 0.750
Ag 0.750 0.500 0.000
Ag 0.500 0.000 0.250
Ag 0.250 0.500 0.000
```

---

# 9
VASP calculation (PBE) on NaAg2Ge2 after structural relaxation. Values from VASP.

Values from the calculation:
Energy relative to the lowest polymorph listed for this composition = 130.2 meV/atom
Energy relative to the elements = 0.132 eV/atom
Symmetry = I4/mmm, No. 139
DOS(E_F) = 2.6 states/eV/f.u.
Raw total energy = -15.6 eV/cell

Geometry as Quantum ESPRESSO input:
```
&SYSTEM
  ibrav = 0, nat = 5, ntyp = 3
/
ATOMIC_SPECIES
Na 22.99 Na.upf
Ge 72.64 Ge.upf
Ag 107.87 Ag.upf
CELL_PARAMETERS angstrom
4.275 0.000 0.000
0.000 4.275 0.000
2.137 2.137 6.038
ATOMIC_POSITIONS crystal
Na 0.000 0.000 0.000
Ge 0.750 0.250 0.500
Ge 0.250 0.750 0.500
Ag 0.386 0.386 0.227
Ag 0.614 0.614 0.773
```

---

# 10
VASP calculation (PBE) on NaAgGe3 after structural relaxation. Values from VASP.

Values from the calculation:
Energy relative to the lowest polymorph listed for this composition = 0.0 meV/atom
Energy relative to the elements = 0.521 eV/atom
Symmetry = Pm-3m, No. 221
DOS(E_F) = 2.8 states/eV/f.u.
Raw total energy = -15.4 eV/cell

Geometry as Quantum ESPRESSO input:
```
&SYSTEM
  ibrav = 0, nat = 5, ntyp = 3
/
ATOMIC_SPECIES
Na 22.99 Na.upf
Ge 72.64 Ge.upf
Ag 107.87 Ag.upf
CELL_PARAMETERS angstrom
-3.728 -0.301 3.462
2.629 -3.565 2.521
2.273 3.630 2.762
ATOMIC_POSITIONS crystal
Na 0.500 0.500 0.500
Ge 0.000 0.500 0.000
Ge 0.000 0.000 0.500
Ge 0.500 0.000 0.000
Ag 0.000 0.000 0.000
```

---

# 11
VASP calculation (PBE) on NaAg2Ge after structural relaxation. Values from VASP.

Values from the calculation:
Energy relative to the elements = 0.001 eV/atom
Symmetry = P2_1/m, No. 11
DOS(E_F) = 1.0 states/eV/f.u.
Raw total energy = -23.3 eV/cell

Geometry as Quantum ESPRESSO input:
```
&SYSTEM
  ibrav = 0, nat = 8, ntyp = 3
/
ATOMIC_SPECIES
Na 22.99 Na.upf
Ag 107.87 Ag.upf
Ge 72.64 Ge.upf
CELL_PARAMETERS angstrom
4.517 0.005 0.000
-2.252 5.187 0.000
0.000 0.000 7.120
ATOMIC_POSITIONS crystal
Na 0.927 0.855 0.250
Na 0.073 0.145 0.750
Ag 0.358 0.715 0.552
Ag 0.642 0.285 0.448
Ag 0.358 0.715 0.948
Ag 0.642 0.285 0.052
Ge 0.789 0.577 0.750
Ge 0.211 0.423 0.250
```

---

# 12
VASP calculation (PBE) on Na2Ag2Ge after structural relaxation. Values from VASP.

Values from the calculation:
Energy relative to the lowest polymorph listed for this composition = 259.2 meV/atom
Energy relative to the elements = 0.226 eV/atom
Symmetry = P4/mbm, No. 127
DOS(E_F) = 1.8 states/eV/f.u.
Raw total energy = -23.7 eV/cell

Geometry as Quantum ESPRESSO input:
```
&SYSTEM
  ibrav = 0, nat = 10, ntyp = 3
/
ATOMIC_SPECIES
Na 22.99 Na.upf
Ge 72.64 Ge.upf
Ag 107.87 Ag.upf
CELL_PARAMETERS angstrom
8.634 0.000 0.000
0.000 8.634 0.000
0.000 0.000 2.938
ATOMIC_POSITIONS crystal
Na 0.360 0.860 0.000
Na 0.860 0.640 0.000
Na 0.640 0.140 0.000
Na 0.140 0.360 0.000
Ge 0.000 0.000 0.000
Ge 0.500 0.500 0.000
Ag 0.158 0.658 0.500
Ag 0.658 0.842 0.500
Ag 0.842 0.342 0.500
Ag 0.342 0.158 0.500
```